1.
PBE MgIBr, relaxed; DOS(E_F) = 0.00 states/eV/f.u.; size of the total moment = 0.0 μB/f.u.; V = 107.96 Å³/f.u.; formation energy from raw total energies = -1258 meV/atom; total DFT energy (no corrections) = -2.864 eV per atom
1.0
4.046 -0.304 -0.227
0.467 6.907 -0.905
0.598 1.402 7.471
I Br Mg
2 2 2
direct
0.905 0.450 0.644
0.413 0.643 0.192
0.912 0.143 0.227
0.405 0.950 0.609
0.908 0.804 0.418
0.408 0.288 0.418

---

2.
PBE MgIBr3, relaxed; DOS(E_F) = 1.85 states/eV/f.u.; size of the total moment = 2.0 μB/f.u.; V = 152.21 Å³/f.u.; formation energy from raw total energies = -533 meV/atom; relative energy among the computed polymorphs = 0.0000 eV/atom; total DFT energy (no corrections) = -2.166 eV per atom
1.0
-5.023 0.891 1.575
1.229 -1.732 4.899
1.328 4.971 1.424
I Mg Br
1 1 3
direct
0.500 0.500 0.500
0.000 0.000 0.000
0.000 0.500 0.000
0.000 0.000 0.500
0.500 0.000 0.000

---

3.
PBE MgIBr, relaxed; DOS(E_F) = 0.00 states/eV/f.u.; size of the total moment = 0.0 μB/f.u.; V = 107.45 Å³/f.u.; formation energy from raw total energies = -1258 meV/atom; total DFT energy (no corrections) = -2.864 eV per atom
1.0
4.066 0.000 0.000
0.000 6.976 0.048
-2.033 -3.199 7.555
Mg I Br
2 2 2
direct
0.750 0.758 0.500
0.250 0.242 0.500
0.636 0.316 0.273
0.364 0.684 0.727
0.154 0.829 0.308
0.846 0.171 0.692

---

4.
PBE Mg3IBr, relaxed; DOS(E_F) = 4.25 states/eV/f.u.; size of the total moment = 0.0 μB/f.u.; V = 182.80 Å³/f.u.; formation energy from raw total energies = 144 meV/atom; relative energy among the computed polymorphs = 0.0000 eV/atom; total DFT energy (no corrections) = -1.457 eV per atom
1.0
5.675 0.000 0.000
0.000 5.675 0.000
0.000 0.000 5.675
I Mg Br
1 3 1
direct
0.500 0.500 0.500
0.000 0.500 0.000
0.000 0.000 0.500
0.500 0.000 0.000
0.000 0.000 0.000

---

5.
PBE MgI3Br, relaxed; DOS(E_F) = 7.98 states/eV/f.u.; size of the total moment = 2.0 μB/f.u.; V = 188.57 Å³/f.u.; formation energy from raw total energies = -213 meV/atom; relative energy among the computed polymorphs = 0.0000 eV/atom; total DFT energy (no corrections) = -1.797 eV per atom
1.0
-1.697 1.112 -5.363
5.274 -1.186 -1.915
-1.481 -5.499 -0.672
I Mg Br
3 1 1
direct
0.000 0.500 0.000
0.000 0.000 0.500
0.500 0.000 0.000
0.000 0.000 0.000
0.500 0.500 0.500

---

6.
PBE Mg5I3Br12, relaxed; DOS(E_F) = 12.55 states/eV/f.u.; size of the total moment = 5.1 μB/f.u.; V = 693.76 Å³/f.u.; formation energy from raw total energies = -830 meV/atom; total DFT energy (no corrections) = -2.465 eV per atom
1.0
-7.911 10.972 7.220
8.904 -7.359 10.084
8.753 6.329 -10.882
I Mg Br
12 20 48
direct
0.750 0.375 0.125
0.875 0.750 0.125
0.375 0.750 0.625
0.250 0.125 0.375
0.875 0.125 0.250
0.375 0.625 0.250
0.625 0.375 0.750
0.125 0.875 0.750
0.750 0.875 0.625
0.625 0.250 0.375
0.125 0.250 0.875
0.250 0.625 0.875
0.125 0.375 0.250
0.000 0.500 0.000
0.000 0.000 0.000
0.375 0.250 0.125
0.500 0.000 0.500
0.500 0.500 0.000
0.125 0.750 0.375
0.750 0.125 0.875
0.750 0.625 0.375
0.375 0.125 0.750
0.625 0.875 0.250
0.500 0.500 0.500
0.500 0.000 0.000
0.000 0.000 0.500
0.250 0.375 0.625
0.250 0.875 0.125
0.000 0.500 0.500
0.875 0.250 0.625
0.625 0.750 0.875
0.875 0.625 0.750
0.684 0.112 0.005
0.321 0.505 0.393
0.995 0.388 0.316
0.505 0.184 0.112
0.572 0.684 0.679
0.995 0.607 0.179
0.321 0.816 0.428
0.107 0.928 0.112
0.607 0.995 0.679
0.684 0.572 0.179
0.816 0.495 0.388
0.821 0.893 0.005
0.112 0.684 0.505
0.388 0.393 0.072
0.072 0.893 0.388
0.428 0.112 0.607
0.072 0.179 0.184
0.495 0.679 0.107
0.821 0.928 0.316
0.112 0.428 0.107
0.388 0.995 0.816
0.607 0.612 0.428
0.893 0.821 0.505
0.816 0.321 0.928
0.393 0.388 0.572
0.107 0.179 0.495
0.184 0.679 0.072
0.179 0.072 0.684
0.612 0.005 0.184
0.888 0.572 0.893
0.505 0.321 0.893
0.572 0.888 0.393
0.928 0.821 0.816
0.928 0.107 0.612
0.888 0.316 0.495
0.179 0.107 0.995
0.612 0.607 0.928
0.393 0.005 0.321
0.316 0.428 0.821
0.184 0.505 0.612
0.893 0.072 0.888
0.679 0.184 0.572
0.495 0.816 0.888
0.005 0.393 0.821
0.428 0.316 0.321
0.005 0.612 0.684
0.679 0.495 0.607
0.316 0.888 0.995

---

7.
PBE Mg2IBr, relaxed; DOS(E_F) = 2.36 states/eV/f.u.; size of the total moment = 0.0 μB/f.u.; V = 108.09 Å³/f.u.; formation energy from raw total energies = -333 meV/atom; relative energy among the computed polymorphs = 0.0576 eV/atom; total DFT energy (no corrections) = -1.937 eV per atom
1.0
0.522 -4.382 3.020
0.380 0.446 5.315
-4.043 -1.599 3.113
I Mg Br
1 2 1
direct
0.500 0.500 0.500
0.250 0.250 0.250
0.750 0.750 0.750
0.000 0.000 0.000

---

8.
PBE Mg3IBr, relaxed; DOS(E_F) = 3.41 states/eV/f.u.; size of the total moment = 0.0 μB/f.u.; V = 225.94 Å³/f.u.; formation energy from raw total energies = 308 meV/atom; relative energy among the computed polymorphs = 0.1640 eV/atom; total DFT energy (no corrections) = -1.293 eV per atom
1.0
-4.900 -2.490 -2.624
-2.590 -0.670 5.472
-2.526 5.518 -0.519
I Mg Br
1 3 1
direct
0.000 0.000 0.000
0.000 0.500 0.000
0.000 0.000 0.500
0.500 0.000 0.000
0.500 0.500 0.500

---

9.
PBE MgI3Br, relaxed; DOS(E_F) = 3.13 states/eV/f.u.; size of the total moment = 0.9 μB/f.u.; V = 213.67 Å³/f.u.; formation energy from raw total energies = 266 meV/atom; relative energy among the computed polymorphs = 0.4792 eV/atom; total DFT energy (no corrections) = -1.318 eV per atom
1.0
-2.186 5.092 -2.243
-4.774 -2.955 -2.055
-2.859 1.040 5.146
I Mg Br
3 1 1
direct
0.000 0.500 0.000
0.000 0.000 0.500
0.500 0.000 0.000
0.500 0.500 0.500
0.000 0.000 0.000

---

10.
PBE MgIBr, relaxed; DOS(E_F) = 0.00 states/eV/f.u.; size of the total moment = 0.0 μB/f.u.; V = 106.46 Å³/f.u.; formation energy from raw total energies = -1245 meV/atom; total DFT energy (no corrections) = -2.850 eV per atom
1.0
-2.326 2.856 1.702
-1.629 -3.546 -1.113
1.495 -2.807 6.753
I Mg Br
1 1 1
direct
0.333 0.667 0.552
0.667 0.333 0.321
0.000 0.000 0.127

---

11.
PBE Mg2MoIBr, relaxed; DOS(E_F) = 3.96 states/eV/f.u.; size of the total moment = 4.9 μB/f.u.; V = 178.57 Å³/f.u.; formation energy from raw total energies = 948 meV/atom; total DFT energy (no corrections) = -2.500 eV per atom
1.0
-2.494 3.987 -1.952
-3.504 0.690 5.889
3.605 3.126 1.778
I Mo Mg Br
1 1 2 1
direct
0.000 0.500 0.000
0.500 0.500 0.500
0.000 0.000 0.500
0.500 0.000 0.000
0.000 0.000 0.000

---

12.
PBE MgIBrN2, relaxed; DOS(E_F) = 2.11 states/eV/f.u.; size of the total moment = 4.3 μB/f.u.; V = 122.09 Å³/f.u.; formation energy from raw total energies = 1219 meV/atom; relative energy among the computed polymorphs = 0.0000 eV/atom; total DFT energy (no corrections) = -3.075 eV per atom
1.0
4.355 0.000 0.000
0.000 4.355 0.000
0.000 0.000 6.437
I Mg Br N
1 1 1 2
direct
0.000 0.000 0.500
0.000 0.000 0.000
0.500 0.500 0.500
0.000 0.500 0.000
0.500 0.000 0.000

---

13.
PBE MgIBrN2, relaxed; DOS(E_F) = 2.28 states/eV/f.u.; size of the total moment = 2.5 μB/f.u.; V = 102.54 Å³/f.u.; formation energy from raw total energies = 1594 meV/atom; relative energy among the computed polymorphs = 0.3757 eV/atom; total DFT energy (no corrections) = -2.699 eV per atom
1.0
-0.410 -2.797 3.308
-1.112 -3.980 -3.503
4.238 -0.944 -0.273
I Mg Br N
1 1 1 2
direct
0.500 0.500 0.500
0.000 0.500 0.000
0.000 0.000 0.000
0.000 0.000 0.500
0.500 0.000 0.000

---

14.
PBE MgIBrN2, relaxed; DOS(E_F) = 2.73 states/eV/f.u.; size of the total moment = 2.4 μB/f.u.; V = 119.94 Å³/f.u.; formation energy from raw total energies = 1681 meV/atom; relative energy among the computed polymorphs = 0.4623 eV/atom; total DFT energy (no corrections) = -2.613 eV per atom
1.0
-1.821 3.525 1.158
1.144 -0.694 3.911
5.995 3.471 -1.138
I Mg Br N
1 1 1 2
direct
0.000 0.000 0.500
0.500 0.500 0.500
0.000 0.000 0.000
0.000 0.500 0.000
0.500 0.000 0.000

---

15.
PBE NaMgIBr2, relaxed; DOS(E_F) = 0.00 states/eV/f.u.; size of the total moment = 0.0 μB/f.u.; V = 164.68 Å³/f.u.; formation energy from raw total energies = -1216 meV/atom; total DFT energy (no corrections) = -2.778 eV per atom
1.0
-2.230 3.687 -2.966
-3.015 -3.634 -2.251
-4.195 0.863 4.227
I Na Mg Br
1 1 1 2
direct
0.000 0.000 0.500
0.500 0.500 0.500
0.000 0.000 0.000
0.000 0.500 0.000
0.500 0.000 0.000

---

16.
PBE MgIBrO2, relaxed; DOS(E_F) = 2.94 states/eV/f.u.; size of the total moment = 0.0 μB/f.u.; V = 110.24 Å³/f.u.; formation energy from raw total energies = 226 meV/atom; relative energy among the computed polymorphs = 0.5408 eV/atom; total DFT energy (no corrections) = -2.721 eV per atom
1.0
4.030 0.000 0.000
0.000 4.030 0.000
0.000 0.000 6.788
I Mg O Br
1 1 2 1
direct
0.000 0.000 0.500
0.500 0.500 0.500
0.000 0.500 0.000
0.500 0.000 0.000
0.000 0.000 0.000

---

17.
PBE MgIBrO2, relaxed; DOS(E_F) = 3.76 states/eV/f.u.; size of the total moment = 1.9 μB/f.u.; V = 118.67 Å³/f.u.; formation energy from raw total energies = -315 meV/atom; relative energy among the computed polymorphs = 0.0000 eV/atom; total DFT energy (no corrections) = -3.262 eV per atom
1.0
-2.734 -2.980 0.649
2.263 -1.397 3.115
-3.532 4.210 4.454
I Mg O Br
1 1 2 1
direct
0.000 0.000 0.500
0.000 0.000 0.000
0.000 0.500 0.000
0.500 0.000 0.000
0.500 0.500 0.500

---

18.
PBE MgOs2IBr, relaxed; DOS(E_F) = 3.58 states/eV/f.u.; size of the total moment = 2.9 μB/f.u.; V = 138.39 Å³/f.u.; formation energy from raw total energies = 1987 meV/atom; total DFT energy (no corrections) = -3.469 eV per atom
1.0
4.892 0.000 0.000
0.000 5.782 0.000
0.000 0.000 4.892
I Mg Os Br
1 1 2 1
direct
0.000 0.000 0.000
0.000 0.500 0.000
0.000 0.000 0.500
0.500 0.000 0.000
0.500 0.500 0.500

---

19.
PBE MgP2IBr, relaxed; DOS(E_F) = 3.86 states/eV/f.u.; size of the total moment = 0.9 μB/f.u.; V = 131.06 Å³/f.u.; formation energy from raw total energies = 543 meV/atom; total DFT energy (no corrections) = -2.585 eV per atom
1.0
-4.142 -2.732 -1.352
0.135 -2.360 4.354
-3.045 3.603 2.048
I P Mg Br
1 2 1 1
direct
0.500 0.500 0.500
0.000 0.000 0.500
0.500 0.000 0.000
0.000 0.000 0.000
0.000 0.500 0.000

---

20.
PBE MgPd2IBr, relaxed; DOS(E_F) = 0.85 states/eV/f.u.; size of the total moment = 0.0 μB/f.u.; V = 142.83 Å³/f.u.; formation energy from raw total energies = 206 meV/atom; total DFT energy (no corrections) = -2.834 eV per atom
1.0
5.005 0.000 0.000
0.000 5.701 0.000
0.000 0.000 5.005
I Mg Br Pd
1 1 1 2
direct
0.000 0.000 0.000
0.000 0.500 0.000
0.500 0.500 0.500
0.000 0.000 0.500
0.500 0.000 0.000

---

21.
PBE RbMgI2Br, relaxed; DOS(E_F) = 0.00 states/eV/f.u.; size of the total moment = 0.0 μB/f.u.; V = 198.90 Å³/f.u.; formation energy from raw total energies = -1311 meV/atom; relative energy among the computed polymorphs = 0.0000 eV/atom; total DFT energy (no corrections) = -2.778 eV per atom
1.0
-0.192 -0.121 -4.487
4.936 -8.122 0.007
-9.003 -3.101 0.469
Rb Mg I Br
2 2 4 2
direct
0.250 0.685 0.357
0.750 0.315 0.643
0.250 0.854 0.828
0.750 0.146 0.172
0.750 0.910 0.641
0.750 0.832 0.042
0.250 0.090 0.359
0.250 0.168 0.958
0.250 0.585 0.717
0.750 0.415 0.283

---

22.
PBE Rb3Mg2I5Br2, relaxed; DOS(E_F) = 0.00 states/eV/f.u.; size of the total moment = 0.0 μB/f.u.; V = 498.12 Å³/f.u.; formation energy from raw total energies = -1314 meV/atom; total DFT energy (no corrections) = -2.747 eV per atom
1.0
-1.585 -5.692 -0.146
0.263 -0.225 5.900
-13.061 6.761 -2.119
Rb Mg I Br
3 2 5 2
direct
0.183 0.183 0.367
0.817 0.817 0.633
0.000 0.000 0.000
0.394 0.394 0.788
0.606 0.606 0.212
0.599 0.099 0.199
0.401 0.901 0.801
0.099 0.599 0.199
0.901 0.401 0.801
0.500 0.500 0.000
0.697 0.697 0.394
0.303 0.303 0.606

---

23.
PBE Rb2MgI3Br, relaxed; DOS(E_F) = 0.00 states/eV/f.u.; size of the total moment = 0.0 μB/f.u.; V = 295.07 Å³/f.u.; formation energy from raw total energies = -1369 meV/atom; total DFT energy (no corrections) = -2.777 eV per atom
1.0
5.441 0.000 0.000
0.000 5.859 0.000
-2.720 -2.930 9.256
Rb Mg I Br
2 1 3 1
direct
0.640 0.640 0.280
0.360 0.360 0.720
0.000 0.000 0.000
0.000 0.500 0.000
0.159 0.159 0.318
0.841 0.841 0.682
0.500 0.000 0.000